Compound: Ba3GeF
Source: Alexandria via LeMat-Bulk
Functional: PBE-GGA
Structure: relaxed

Computed properties:
relative energy among the computed polymorphs	0.000	eV/atom
SG	P2_1/c, No. 14

Unit cell a=9.1471 b=8.7654 c=10.2594 alpha=90.00 beta=106.27 gamma=90.00
Last column: nearest neighbours and their distance in Å.
Sites, in units of the cell vectors:
Ba (0.0114, 0.2498, 0.2528)  2 F 2.77
Ba (0.0114, 0.2502, 0.7528)  2 F 2.77
Ba (0.3209, 0.0019, 0.0795)  1 F 2.77
Ba (0.3209, 0.4981, 0.5795)  1 F 2.77
Ba (0.3235, 0.0013, 0.5814)  1 F 2.75
Ba (0.3235, 0.4987, 0.0814)  1 F 2.75
Ba (0.6765, 0.5013, 0.9186)  1 F 2.75
Ba (0.6765, 0.9987, 0.4186)  1 F 2.75
Ba (0.6791, 0.5019, 0.4205)  1 F 2.77
Ba (0.6791, 0.9981, 0.9205)  1 F 2.77
Ba (0.9886, 0.7498, 0.2472)  2 F 2.77
Ba (0.9886, 0.7502, 0.7472)  2 F 2.77
Ge (0.3633, 0.7494, 0.8406)  7 Ba 3.29-3.53
Ge (0.3633, 0.7506, 0.3406)  7 Ba 3.29-3.53
Ge (0.6367, 0.2494, 0.6594)  7 Ba 3.29-3.53
Ge (0.6367, 0.2506, 0.1594)  7 Ba 3.29-3.53
F (0.1296, 0.2470, 0.5323)  4 Ba 2.75-2.77
F (0.1296, 0.2530, 0.0323)  4 Ba 2.75-2.77
F (0.8704, 0.7470, 0.9677)  4 Ba 2.75-2.77
F (0.8704, 0.7530, 0.4677)  4 Ba 2.75-2.77